# 1
VASP calculation (PBE) on a relaxed structure of LaNd3Y6Ho2.

Geometry as CIF:
```
data_LaNd3Y6Ho2
_symmetry_space_group_name_H-M 'C 1 2/m 1'
_symmetry_Int_Tables_number 12
_cell_length_a 6.253
_cell_length_b 10.826
_cell_length_c 11.910
_cell_angle_alpha 90.00
_cell_angle_beta 100.04
_cell_angle_gamma 90.00
loop_
_symmetry_equiv_pos_as_xyz
'x,y,z'
'-x,-y,-z'
'-x,y,-z'
'x,-y,z'
'x+1/2,y+1/2,z'
'-x+1/2,-y+1/2,-z'
'-x+1/2,y+1/2,-z'
'x+1/2,-y+1/2,z'
loop_
_atom_site_label
_atom_site_type_symbol
_atom_site_fract_x
_atom_site_fract_y
_atom_site_fract_z
La1 La 0.000 0.000 0.000
Nd1 Nd 0.000 0.167 0.500
Nd2 Nd 0.000 0.500 0.500
Y1 Y 0.248 0.500 0.249
Y2 Y 0.250 0.167 0.249
Ho1 Ho 0.000 0.333 0.000
```

raw total energy: -5.58 eV/atom
D(E_F): 32.04 states/eV per cell
crystal system: monoclinic



# 2
VASP calculation (PBE) on a relaxed structure of La5NdY2Ho.

Geometry as CIF:
```
data_La5NdY2Ho
_symmetry_space_group_name_H-M 'I 4/m c m'
_symmetry_Int_Tables_number 140
_symmetry_space_group_name_Hall '-I 4 2c'
_cell_length_a 9.607
_cell_length_b 9.607
_cell_length_c 14.079
_cell_angle_alpha 90.00
_cell_angle_beta 90.00
_cell_angle_gamma 90.00
loop_
_atom_site_label
_atom_site_type_symbol
_atom_site_fract_x
_atom_site_fract_y
_atom_site_fract_z
La1 La 0.000 0.000 0.000
La2 La 0.202 0.298 0.138
Nd1 Nd 0.000 0.000 0.250
Y1 Y 0.108 0.392 0.500
Ho1 Ho 0.000 0.500 0.250
```

raw total energy: -4.92 eV/atom
D(E_F): 60.92 states/eV per cell
crystal system: tetragonal



# 3
VASP calculation (PBE) on a relaxed structure of La6Nd2YHo.

Geometry as CIF:
```
data_La6Nd2YHo
_symmetry_space_group_name_H-M 'C 1 2/c 1'
_symmetry_Int_Tables_number 15
_cell_length_a 9.886
_cell_length_b 15.402
_cell_length_c 9.323
_cell_angle_alpha 90.00
_cell_angle_beta 91.09
_cell_angle_gamma 90.00
loop_
_symmetry_equiv_pos_as_xyz
'x,y,z'
'-x,-y,-z'
'-x,y,-z+1/2'
'x,-y,z+1/2'
'x+1/2,y+1/2,z'
'-x+1/2,-y+1/2,-z'
'-x+1/2,y+1/2,-z+1/2'
'x+1/2,-y+1/2,z+1/2'
loop_
_atom_site_label
_atom_site_type_symbol
_atom_site_fract_x
_atom_site_fract_y
_atom_site_fract_z
La1 La 0.074 0.145 0.097
La2 La 0.075 0.350 0.910
La3 La 0.245 0.281 0.320
Nd1 Nd 0.249 0.455 0.562
Y1 Y 0.000 0.072 0.750
Ho1 Ho 0.000 0.435 0.250
```

raw total energy: -4.90 eV/atom
D(E_F): 49.50 states/eV per cell
crystal system: monoclinic



# 4
VASP calculation (PBE) on a relaxed structure of LaNd2YHo.

Geometry as CIF:
```
data_LaNd2YHo
_symmetry_space_group_name_H-M 'P m m m'
_symmetry_Int_Tables_number 47
_cell_length_a 3.709
_cell_length_b 5.673
_cell_length_c 8.673
_cell_angle_alpha 90.00
_cell_angle_beta 90.00
_cell_angle_gamma 90.00
loop_
_symmetry_equiv_pos_as_xyz
'x,y,z'
'-x,-y,-z'
'-x,-y,z'
'x,y,-z'
'x,-y,-z'
'-x,y,z'
'-x,y,-z'
'x,-y,z'
loop_
_atom_site_label
_atom_site_type_symbol
_atom_site_fract_x
_atom_site_fract_y
_atom_site_fract_z
La1 La 0.000 0.000 0.000
Nd1 Nd 0.000 0.500 0.322
Y1 Y 0.500 0.500 0.000
Ho1 Ho 0.500 0.000 0.500
```

raw total energy: -4.83 eV/atom
D(E_F): 8.43 states/eV per cell
crystal system: orthorhombic



# 5
VASP calculation (PBE) on a relaxed structure of La3NdY2Ho6.

Geometry as CIF:
```
data_La3NdY2Ho6
_symmetry_space_group_name_H-M 'C 1 2/m 1'
_symmetry_Int_Tables_number 12
_cell_length_a 6.244
_cell_length_b 10.815
_cell_length_c 11.873
_cell_angle_alpha 90.00
_cell_angle_beta 100.08
_cell_angle_gamma 90.00
loop_
_symmetry_equiv_pos_as_xyz
'x,y,z'
'-x,-y,-z'
'-x,y,-z'
'x,-y,z'
'x+1/2,y+1/2,z'
'-x+1/2,-y+1/2,-z'
'-x+1/2,y+1/2,-z'
'x+1/2,-y+1/2,z'
loop_
_atom_site_label
_atom_site_type_symbol
_atom_site_fract_x
_atom_site_fract_y
_atom_site_fract_z
La1 La 0.000 0.000 0.000
La2 La 0.000 0.333 0.000
Nd1 Nd 0.000 0.500 0.500
Y1 Y 0.000 0.167 0.500
Ho1 Ho 0.249 0.000 0.747
Ho2 Ho 0.249 0.333 0.747
```

raw total energy: -4.97 eV/atom
D(E_F): 32.18 states/eV per cell
crystal system: monoclinic



# 6
VASP calculation (PBE) on a relaxed structure of LaNd2Y5Ho.

Geometry as CIF:
```
data_LaNd2Y5Ho
_symmetry_space_group_name_H-M 'I 4/m c m'
_symmetry_Int_Tables_number 140
_symmetry_space_group_name_Hall '-I 4 2c'
_cell_length_a 8.675
_cell_length_b 8.675
_cell_length_c 15.853
_cell_angle_alpha 90.00
_cell_angle_beta 90.00
_cell_angle_gamma 90.00
loop_
_atom_site_label
_atom_site_type_symbol
_atom_site_fract_x
_atom_site_fract_y
_atom_site_fract_z
La1 La 0.000 0.500 0.250
Nd1 Nd 0.119 0.381 0.000
Y1 Y 0.000 0.000 0.000
Y2 Y 0.207 0.293 0.362
Ho1 Ho 0.000 0.000 0.250
```

raw total energy: -5.47 eV/atom
D(E_F): 40.69 states/eV per cell
crystal system: tetragonal



# 7
VASP calculation (PBE) on a relaxed structure of LaNdY2Ho5.

Geometry as CIF:
```
data_LaNdY2Ho5
_symmetry_space_group_name_H-M 'I 4/m c m'
_symmetry_Int_Tables_number 140
_symmetry_space_group_name_Hall '-I 4 2c'
_cell_length_a 8.802
_cell_length_b 8.802
_cell_length_c 15.288
_cell_angle_alpha 90.00
_cell_angle_beta 90.00
_cell_angle_gamma 90.00
loop_
_atom_site_label
_atom_site_type_symbol
_atom_site_fract_x
_atom_site_fract_y
_atom_site_fract_z
La1 La 0.000 0.000 0.250
Nd1 Nd 0.000 0.500 0.250
Y1 Y 0.117 0.383 0.000
Ho1 Ho 0.000 0.000 0.000
Ho2 Ho 0.204 0.296 0.366
```

raw total energy: -4.77 eV/atom
D(E_F): 45.53 states/eV per cell
crystal system: tetragonal



# 8
VASP calculation (PBE) on a relaxed structure of LaNd2Y2Ho.

Geometry as CIF:
```
data_LaNd2Y2Ho
_symmetry_space_group_name_H-M 'P n n m'
_symmetry_Int_Tables_number 58
_cell_length_a 6.680
_cell_length_b 17.947
_cell_length_c 3.431
_cell_angle_alpha 90.00
_cell_angle_beta 90.00
_cell_angle_gamma 90.00
loop_
_symmetry_equiv_pos_as_xyz
'x,y,z'
'-x,-y,-z'
'-x,-y,z'
'x,y,-z'
'x+1/2,-y+1/2,-z+1/2'
'-x+1/2,y+1/2,z+1/2'
'-x+1/2,y+1/2,-z+1/2'
'x+1/2,-y+1/2,z+1/2'
loop_
_atom_site_label
_atom_site_type_symbol
_atom_site_fract_x
_atom_site_fract_y
_atom_site_fract_z
La1 La 0.000 0.000 0.000
Nd1 Nd 0.221 0.351 0.500
Y1 Y 0.226 0.182 0.000
Ho1 Ho 0.000 0.500 0.000
```

raw total energy: -5.08 eV/atom
D(E_F): 19.27 states/eV per cell
crystal system: orthorhombic



# 9
VASP calculation (PBE) on a relaxed structure of La5Nd2YHo.

Geometry as CIF:
```
data_La5Nd2YHo
_symmetry_space_group_name_H-M 'I 4/m c m'
_symmetry_Int_Tables_number 140
_symmetry_space_group_name_Hall '-I 4 2c'
_cell_length_a 8.695
_cell_length_b 8.695
_cell_length_c 17.208
_cell_angle_alpha 90.00
_cell_angle_beta 90.00
_cell_angle_gamma 90.00
loop_
_atom_site_label
_atom_site_type_symbol
_atom_site_fract_x
_atom_site_fract_y
_atom_site_fract_z
La1 La 0.000 0.000 0.000
La2 La 0.220 0.280 0.144
Nd1 Nd 0.123 0.377 0.500
Y1 Y 0.000 0.500 0.250
Ho1 Ho 0.000 0.000 0.250
```

raw total energy: -4.76 eV/atom
D(E_F): 64.56 states/eV per cell
crystal system: tetragonal



# 10
VASP calculation (PBE) on a relaxed structure of La2NdY5Ho.

Geometry as CIF:
```
data_La2NdY5Ho
_symmetry_space_group_name_H-M 'I 4/m c m'
_symmetry_Int_Tables_number 140
_symmetry_space_group_name_Hall '-I 4 2c'
_cell_length_a 8.658
_cell_length_b 8.658
_cell_length_c 15.986
_cell_angle_alpha 90.00
_cell_angle_beta 90.00
_cell_angle_gamma 90.00
loop_
_atom_site_label
_atom_site_type_symbol
_atom_site_fract_x
_atom_site_fract_y
_atom_site_fract_z
La1 La 0.118 0.382 0.000
Nd1 Nd 0.000 0.500 0.250
Y1 Y 0.000 0.000 0.000
Y2 Y 0.213 0.287 0.359
Ho1 Ho 0.000 0.000 0.250
```

raw total energy: -5.49 eV/atom
D(E_F): 48.41 states/eV per cell
crystal system: tetragonal



# 11
VASP calculation (PBE) on a relaxed structure of La3NdYHo.

Geometry as CIF:
```
data_La3NdYHo
_symmetry_space_group_name_H-M 'P 1 21/m 1'
_symmetry_Int_Tables_number 11
_cell_length_a 8.134
_cell_length_b 5.228
_cell_length_c 10.434
_cell_angle_alpha 90.00
_cell_angle_beta 108.75
_cell_angle_gamma 90.00
loop_
_symmetry_equiv_pos_as_xyz
'x,y,z'
'-x,-y,-z'
'-x,y+1/2,-z'
'x,-y+1/2,z'
loop_
_atom_site_label
_atom_site_type_symbol
_atom_site_fract_x
_atom_site_fract_y
_atom_site_fract_z
La1 La 0.168 0.250 0.043
La2 La 0.170 0.250 0.540
La3 La 0.170 0.750 0.791
Nd1 Nd 0.171 0.750 0.293
Y1 Y 0.497 0.750 0.127
Ho1 Ho 0.500 0.250 0.377
```

raw total energy: -5.07 eV/atom
D(E_F): 22.23 states/eV per cell
crystal system: monoclinic



# 12
VASP calculation (PBE) on a relaxed structure of La2Nd2YHo.

Geometry as CIF:
```
data_La2Nd2YHo
_symmetry_space_group_name_H-M 'P m m a'
_symmetry_Int_Tables_number 51
_cell_length_a 7.153
_cell_length_b 5.766
_cell_length_c 10.008
_cell_angle_alpha 90.00
_cell_angle_beta 90.00
_cell_angle_gamma 90.00
loop_
_symmetry_equiv_pos_as_xyz
'x,y,z'
'-x,-y,-z'
'-x+1/2,-y,z'
'x+1/2,y,-z'
'x+1/2,-y,-z'
'-x+1/2,y,z'
'-x,y,-z'
'x,-y,z'
loop_
_atom_site_label
_atom_site_type_symbol
_atom_site_fract_x
_atom_site_fract_y
_atom_site_fract_z
La1 La 0.000 0.000 0.000
La2 La 0.250 0.500 0.175
Nd1 Nd 0.250 0.000 0.331
Nd2 Nd 0.250 0.500 0.835
Y1 Y 0.000 0.500 0.500
Ho1 Ho 0.250 0.000 0.657
```

raw total energy: -5.02 eV/atom
D(E_F): 18.66 states/eV per cell
crystal system: orthorhombic



no.,calculated formation energy (eV per atom),total magnetization (μB per atom)
1,0.0167,0.00
2,0.2930,0.00
3,0.1122,0.00
4,0.2718,0.00
5,0.0207,0.00
6,0.2353,0.00
7,0.2827,0.00
8,0.2472,0.00
9,0.2645,0.00
10,0.2376,0.00
11,0.0287,0.00
12,0.0495,0.00